Density functional theory data (PBE+U) for a geometry-optimized NaCr2F6 structure.

Output
The value obtained for the total magnetization is 0.778 μB/atom. As for the crystal system: monoclinic. For the raw total energy, the calculation gives -0.419 Ry per atom.

a b c (Å): 4.127 5.472 6.907
angles (deg): 70.34 72.62 67.84
Positions (direct):
F (0.343, 0.678, 0.636)
F (0.986, 0.843, 0.186)
F (0.696, 0.668, 0.941)
F (0.304, 0.332, 0.059)
F (0.657, 0.322, 0.364)
F (0.014, 0.157, 0.814)
Na (0.000, 0.500, 0.500)
Cr (0.827, 0.252, 0.095)
Cr (0.173, 0.748, 0.905)